[1]
Sr3Se2S PBE optimized geometry; VASP energy = -4.7817 eV/atom; formation energy without anion corrections = -2.091 eV/atom
1.0
4.396 0.000 0.000
0.000 6.229 0.000
-2.198 -3.114 6.606
Sr Se S
3 2 1
direct
0.839 0.339 0.178
0.161 0.661 0.822
0.500 0.000 0.500
0.832 0.832 0.165
0.168 0.168 0.835
0.500 0.500 0.500

***

[2]
CaLaYTm PBE optimized geometry; VASP energy = -4.3441 eV/atom
1.0
5.824 0.000 0.000
2.912 5.044 0.000
2.912 1.681 4.755
Y Ca Tm La
1 1 1 1
direct
0.000 0.000 0.000
0.750 0.750 0.750
0.250 0.250 0.250
0.500 0.500 0.500

***

[3]
Pr4Sn3Pt PBE optimized geometry; VASP energy = -5.4642 eV/atom
1.0
-1.072 4.225 -1.060
-2.219 0.413 3.890
9.772 3.776 5.173
Pr Sn Pt
4 3 1
direct
0.500 0.500 0.344
0.000 0.500 0.875
0.000 0.000 0.133
0.500 0.000 0.640
0.000 0.500 0.589
0.000 0.000 0.415
0.500 0.000 0.919
0.500 0.500 0.084

***

[4]
SiAs2P PBE optimized geometry; VASP energy = -4.6999 eV/atom; E above lowest polymorph = 21.8 kJ per mole of atoms; formation energy without anion corrections = 0.333 eV/atom
1.0
-1.473 -3.058 5.002
0.779 -5.057 3.218
2.745 1.343 1.961
As P Si
2 1 1
direct
0.955 0.955 0.978
0.545 0.545 0.522
0.750 0.750 0.750
0.250 0.250 0.250

***

[5]
SrCo2 PBE optimized geometry; VASP energy = -5.0586 eV/atom
1.0
2.052 5.428 -0.898
-2.052 5.428 -0.898
0.000 0.816 4.948
Sr Co
2 4
direct
0.073 0.073 0.472
0.649 0.649 0.972
0.902 0.902 0.972
0.820 0.820 0.472
0.361 0.361 0.722
0.361 0.361 0.222

***

[6]
Tb5Sc7 PBE optimized geometry; VASP energy = -5.4179 eV/atom
1.0
-2.279 -3.669 -3.155
4.127 -1.350 3.122
-10.552 -1.093 8.893
Tb Sc
5 7
direct
0.144 0.289 0.434
0.856 0.711 0.566
0.400 0.799 0.199
0.600 0.201 0.801
0.000 0.000 0.000
0.225 0.450 0.675
0.775 0.550 0.325
0.071 0.143 0.214
0.929 0.857 0.786
0.695 0.390 0.085
0.500 0.000 0.500
0.305 0.610 0.915

***

[7]
La3Nd2Pb PBE optimized geometry; VASP energy = -4.8845 eV/atom
1.0
-1.372 4.539 1.850
-4.491 -0.459 -2.205
-0.605 -3.298 7.644
La Nd Pb
3 2 1
direct
0.500 0.162 0.323
0.500 0.500 0.000
0.500 0.838 0.677
0.000 0.664 0.327
0.000 0.336 0.673
0.000 0.000 0.000

***

[8]
PtSe2F PBE optimized geometry; VASP energy = -4.3211 eV/atom; E above lowest polymorph = 11.5 kJ per mole of atoms; formation energy without anion corrections = -0.601 eV/atom
1.0
-6.201 3.046 2.300
-3.385 5.233 3.766
-4.501 5.723 0.109
Se Pt F
2 1 1
direct
0.893 0.893 0.893
0.107 0.107 0.107
0.500 0.500 0.500
0.000 0.000 0.000

***

[9]
YZn3Ni8 PBE optimized geometry; VASP energy = -4.8863 eV/atom
1.0
-3.514 1.455 -2.947
3.894 -2.184 -1.794
-3.544 -6.964 0.788
Y Zn Ni
1 3 8
direct
0.000 0.000 0.569
0.667 0.333 0.405
0.667 0.333 0.055
0.000 0.000 0.957
0.333 0.667 0.499
0.333 0.667 0.000
0.503 0.005 0.760
0.503 0.497 0.760
0.995 0.497 0.760
0.165 0.330 0.244
0.165 0.835 0.244
0.670 0.835 0.244

***

[10]
BaHo6Tl12 PBE optimized geometry; VASP energy = -3.1355 eV/atom
1.0
-1.660 -3.756 7.824
7.838 -3.186 -2.549
1.360 8.561 1.717
Ba Ho Tl
1 6 12
direct
0.000 0.000 0.000
0.713 0.292 0.292
0.292 0.292 0.713
0.292 0.713 0.292
0.708 0.708 0.287
0.287 0.708 0.708
0.708 0.287 0.708
0.889 0.111 0.500
0.851 0.620 0.620
0.620 0.620 0.851
0.380 0.149 0.380
0.380 0.380 0.149
0.149 0.380 0.380
0.111 0.500 0.889
0.500 0.889 0.111
0.111 0.889 0.500
0.889 0.500 0.111
0.500 0.111 0.889
0.620 0.851 0.620

***

[11]
NbGa PBE optimized geometry; VASP energy = -5.2415 eV/atom
1.0
-3.985 2.011 -3.794
-1.231 -5.494 -1.618
-4.114 -0.303 4.160
Nb Ga
4 4
direct
0.000 0.000 0.000
0.000 0.500 0.500
0.500 0.000 0.500
0.500 0.500 0.000
0.250 0.250 0.250
0.250 0.750 0.750
0.750 0.250 0.750
0.750 0.750 0.250

***

[12]
SiHg2Os PBE optimized geometry; VASP energy = -4.0076 eV/atom; formation energy without anion corrections = 0.306 eV/atom
1.0
4.434 -0.019 -0.025
3.458 2.775 -0.025
2.169 0.758 6.939
Hg Os Si
2 1 1
direct
0.042 0.042 0.023
0.822 0.822 0.725
0.459 0.459 0.376
0.177 0.177 0.377

***

| no. | density of states at the Fermi level (states/eV per cell) |
| --- | --- |
| 1 | 0.0 |
| 2 | 6.7 |
| 3 | 5.5 |
| 4 | 1.5 |
| 5 | 5.9 |
| 6 | 18.6 |
| 7 | 6.9 |
| 8 | 1.2 |
| 9 | 16.6 |
| 10 | 13.8 |
| 11 | 8.2 |
| 12 | 1.9 |